# 1
Entry from Alexandria: crystalline InSi2S at its relaxed geometry (PBE).

DOS at the Fermi energy (states/eV/cell): 7.141
Energy above the lowest structure with this stoichiometry (meV/atom): 0

a b c (Å): 5.6400 5.6400 12.2995
angles (deg): 90.00 90.00 90.00
With the nearest neighbours (Å) after each atom.
Space group I-42d (No. 122)
Unique sites:
In: 0.0000 0.0000 0.0000 (multiplicity 4)  4 Si 2.63
Si: 0.2157 0.2500 0.6250 (multiplicity 8)  2 S 2.41, 2 In 2.63
S: 0.0000 0.0000 0.5000 (multiplicity 4)  4 Si 2.41

---

# 2
Entry from Alexandria: crystalline In2SiS5 at its relaxed geometry (PBE).

Uncorrected energy (eV per atom): -4.309

a b c (Å): 5.2065 12.4964 11.5174
angles (deg): 90.00 90.00 90.00
With the nearest neighbours (Å) after each atom.
Space group Cmcm (No. 63)
Unique sites:
In: 0.0000 0.1511 0.0714 (multiplicity 8)  5 S 2.50-2.69
Si: 0.0000 0.1905 0.7500 (multiplicity 4)  4 S 2.22-2.31
S: 0.0000 0.0590 0.6209 (multiplicity 8)  1 Si 2.22
S: 0.0000 0.2753 0.2500 (multiplicity 4)  2 In 2.58, 2 Si 2.64
S: 0.0000 0.3142 0.6010 (multiplicity 8)  1 Si 2.31

---

# 3
Entry from Alexandria: crystalline In3SiS6 at its relaxed geometry (PBE).

DOS at the Fermi energy (states/eV/cell): 11.840
Uncorrected energy (eV per atom): -4.268

a b c (Å): 10.5665 13.5814 6.3288
angles (deg): 90.00 90.00 90.00
With the nearest neighbours (Å) after each atom.
Space group Cmc2_1 (No. 36)
Unique sites:
In: 0.0000 0.0813 0.0000 (multiplicity 4)  6 S 2.66-2.73
In: 0.1926 0.4039 0.1361 (multiplicity 8)  5 S 2.65-2.85
Si: 0.0000 0.2995 0.6992 (multiplicity 4)  4 S 2.12-2.16
S: 0.0000 0.3029 0.3637 (multiplicity 4)  1 Si 2.12
S: 0.0000 0.4426 0.8489 (multiplicity 4)  1 Si 2.16
S: 0.1571 0.2239 0.8468 (multiplicity 8)  1 Si 2.16
S: 0.1610 0.0427 0.3159 (multiplicity 8)  4 In 2.65-2.69